# 1
Below is crystalline PrTi2V at its relaxed geometry, with properties calculated at the PBE level.

a = 3.0442 Å, b = 3.0442 Å, c = 10.3494 Å
α = 81.54°, β = 81.54°, γ = 60.00°
Closest atoms and distances in Å follow each position.
Positions (direct):
Pr 0.0000 0.0000 0.0000  6 Pr 3.04, 2 Ti 3.10
Ti 0.1012 0.1012 0.6964  3 V 2.67
Ti 0.8988 0.8988 0.3036  3 V 2.67
V 0.5000 0.5000 0.5000  6 Ti 2.67

Summary:
symmetry	R-3m (166)
formation energy	0.4629	eV per atom
Fermi-level density of states	6.09	states/eV/cell
electronic total energy	-27.8	eV per cell

# 2
Below is crystalline MgSnTeN2 at its relaxed geometry, with properties calculated at the PBE level.

a = 4.1555 Å, b = 4.1555 Å, c = 6.2188 Å
α = 90.00°, β = 90.00°, γ = 90.00°
Closest atoms and distances in Å follow each position.
Positions (direct):
Mg 0.5000 0.5000 0.5000  4 Te 2.94
Te 0.0000 0.0000 0.5000  4 Mg 2.94, 2 Sn 3.11
Sn 0.0000 0.0000 0.0000  4 N 2.08
N 0.0000 0.5000 0.0000  2 Sn 2.08
N 0.5000 0.0000 0.0000  2 Sn 2.08

Summary:
symmetry	P4/mmm (123)
ΔE to the lowest computed polymorph	0	meV per atom
Fermi-level density of states	2.99	states/eV/cell
electronic total energy	-20.7	eV per cell

# 3
Below is crystalline TeRhPb2 at its relaxed geometry, with properties calculated at the PBE level.

a = 4.8984 Å, b = 4.8984 Å, c = 4.2455 Å
α = 90.00°, β = 90.00°, γ = 90.00°
Closest atoms and distances in Å follow each position.
Positions (direct):
Te 0.0000 0.0000 0.5000  8 Pb 3.24, 4 Rh 3.46
Rh 0.5000 0.5000 0.5000  8 Pb 3.24, 4 Te 3.46
Pb 0.5000 0.0000 0.0000  4 Te 3.24, 4 Rh 3.24, 4 Pb 3.46
Pb 0.0000 0.5000 0.0000  4 Te 3.24, 4 Rh 3.24, 4 Pb 3.46

Summary:
symmetry	P4/mmm (123)
Fermi-level density of states	2.52	states/eV/cell
electronic total energy	-17.0	eV per cell

# 4
Below is crystalline MnZnAu3 at its relaxed geometry, with properties calculated at the PBE level.

a = 3.5882 Å, b = 9.9932 Å, c = 9.9932 Å
α = 80.00°, β = 100.27°, γ = 100.27°
Closest atoms and distances in Å follow each position.
Positions (direct):
Mn 0.9856 0.6826 0.7862  2 Mn 2.23
Mn 0.5144 0.2138 0.3174  2 Mn 2.23
Mn 0.0144 0.3174 0.2138  2 Mn 2.23
Mn 0.4856 0.7862 0.6826  2 Mn 2.23
Zn 0.2500 0.9153 0.0847  4 Au 2.64, 4 Zn 2.74-2.82
Zn 0.7500 0.0847 0.9153  4 Au 2.64, 4 Zn 2.74-2.82
Zn 0.2500 0.2459 0.7541  6 Au 2.61-2.92, 2 Zn 2.74
Zn 0.7500 0.7541 0.2459  6 Au 2.61-2.92, 2 Zn 2.74
Au 0.6199 0.7800 0.9594  3 Zn 2.64-2.79, 3 Mn 2.71-2.74, 4 Au 2.81-2.92
Au 0.8801 0.0406 0.2200  3 Zn 2.64-2.79, 3 Mn 2.71-2.74, 4 Au 2.81-2.92
Au 0.3801 0.2200 0.0406  3 Zn 2.64-2.79, 3 Mn 2.71-2.74, 4 Au 2.81-2.92
Au 0.1199 0.9594 0.7800  3 Zn 2.64-2.79, 3 Mn 2.71-2.74, 4 Au 2.81-2.92
Au 0.9043 0.4102 0.8987  1 Mn 2.74, 5 Au 2.81-2.85, 2 Zn 2.92
Au 0.5957 0.1013 0.5898  1 Mn 2.74, 5 Au 2.81-2.85, 2 Zn 2.92
Au 0.0957 0.5898 0.1013  1 Mn 2.74, 5 Au 2.81-2.85, 2 Zn 2.92
Au 0.4043 0.8987 0.4102  1 Mn 2.74, 5 Au 2.81-2.85, 2 Zn 2.92
Au 0.3483 0.5119 0.6824  1 Zn 2.61, 3 Mn 2.70-2.76, 5 Au 2.83-2.89
Au 0.1517 0.3176 0.4881  1 Zn 2.61, 3 Mn 2.70-2.76, 5 Au 2.83-2.89
Au 0.6517 0.4881 0.3176  1 Zn 2.61, 3 Mn 2.70-2.76, 5 Au 2.83-2.89
Au 0.8483 0.6824 0.5119  1 Zn 2.61, 3 Mn 2.70-2.76, 5 Au 2.83-2.89

Summary:
symmetry	C2/c (15)
ΔE to the lowest computed polymorph	273	meV per atom
formation energy	0.1430	eV per atom
Fermi-level density of states	11.88	states/eV/cell
electronic total energy	-78.2	eV per cell

# 5
Below is crystalline Er2Zn3Pd2 at its relaxed geometry, with properties calculated at the PBE level.

a = 4.2849 Å, b = 5.2612 Å, c = 6.8460 Å
α = 109.28°, β = 90.00°, γ = 114.03°
Closest atoms and distances in Å follow each position.
Positions (direct):
Er 0.8549 0.7099 0.2332  4 Pd 2.85-2.99, 3 Zn 3.05-3.06
Er 0.1451 0.2901 0.7668  4 Pd 2.85-2.99, 3 Zn 3.05-3.06
Zn 0.5000 0.0000 0.0000  4 Pd 2.65, 2 Zn 2.79
Zn 0.6199 0.2399 0.4370  3 Pd 2.69-2.73, 2 Zn 2.74-2.79
Zn 0.3801 0.7601 0.5630  3 Pd 2.69-2.73, 2 Zn 2.74-2.79
Pd 0.8575 0.7150 0.7977  5 Zn 2.65-2.73, 3 Er 2.85-2.91
Pd 0.1425 0.2850 0.2023  5 Zn 2.65-2.73, 3 Er 2.85-2.91

Summary:
symmetry	C2/m (12)
formation energy	-0.6614	eV per atom
Fermi-level density of states	3.88	states/eV/cell
electronic total energy	-28.0	eV per cell

# 6
Below is crystalline CaCdMo2 at its relaxed geometry, with properties calculated at the PBE level.

a = 9.8405 Å, b = 9.8405 Å, c = 9.8405 Å
α = 18.78°, β = 18.78°, γ = 18.78°
Closest atoms and distances in Å follow each position.
Positions (direct):
Mo 0.9890 0.9890 0.9890  3 Mo 2.51
Mo 0.2641 0.2641 0.2641  3 Mo 2.51
Ca 0.5061 0.5061 0.5061  6 Ca 3.21, 3 Mo 3.23, 3 Cd 3.41
Cd 0.7408 0.7408 0.7408  3 Mo 3.09, 6 Cd 3.21, 3 Ca 3.41

Summary:
symmetry	R3m (160)
formation energy	0.4290	eV per atom
Fermi-level density of states	4.76	states/eV/cell
electronic total energy	-22.9	eV per cell

# 7
Below is crystalline LiTl2Hg6 at its relaxed geometry, with properties calculated at the PBE level.

a = 3.2638 Å, b = 9.1673 Å, c = 9.1673 Å
α = 60.03°, β = 89.77°, γ = 89.77°
Closest atoms and distances in Å follow each position.
Positions (direct):
Li 0.0000 0.0000 0.0000  2 Li 3.26, 12 Hg 3.40-3.42
Tl 0.0000 0.3333 0.3333  2 Tl 3.26, 12 Hg 3.49-3.50
Tl 0.0000 0.6667 0.6667  2 Tl 3.26, 12 Hg 3.49-3.50
Hg 0.4977 0.6737 0.0000  5 Hg 2.99-3.26
Hg 0.5023 0.0000 0.3263  5 Hg 2.99-3.26
Hg 0.5023 0.3263 0.0000  5 Hg 2.99-3.26
Hg 0.5000 0.6735 0.3265  5 Hg 2.99-3.26
Hg 0.4977 0.0000 0.6737  5 Hg 2.99-3.26
Hg 0.5000 0.3265 0.6735  5 Hg 2.99-3.26

Summary:
symmetry	C2/m (12)
ΔE to the lowest computed polymorph	14	meV per atom
formation energy	-0.0518	eV per atom
Fermi-level density of states	4.16	states/eV/cell
electronic total energy	-8.9	eV per cell

# 8
Below is crystalline MgNbS2Cl at its relaxed geometry, with properties calculated at the PBE level.

a = 4.8554 Å, b = 4.8554 Å, c = 4.8386 Å
α = 90.00°, β = 90.00°, γ = 90.00°
Closest atoms and distances in Å follow each position.
Positions (direct):
Mg 0.5000 0.5000 0.5000  8 S 3.43, 4 Cl 3.43
Nb 0.0000 0.0000 0.0000  2 Cl 2.42, 4 S 2.43
S 0.0000 0.5000 0.0000  2 Nb 2.43
S 0.5000 0.0000 0.0000  2 Nb 2.43
Cl 0.0000 0.0000 0.5000  2 Nb 2.42

Summary:
symmetry	P4/mmm (123)
ΔE to the lowest computed polymorph	0	meV per atom
Fermi-level density of states	3.63	states/eV/cell
electronic total energy	-24.5	eV per cell

# 9
Below is crystalline Au2IBr2 at its relaxed geometry, with properties calculated at the PBE level.

a = 7.3753 Å, b = 7.3753 Å, c = 8.1808 Å
α = 116.79°, β = 116.79°, γ = 90.00°
Closest atoms and distances in Å follow each position.
Positions (direct):
Au 0.4436 0.7544 0.8873  1 Br 2.51, 1 I 2.64, 1 Au 2.79
Au 0.3829 0.1936 0.3873  1 Br 2.51, 1 I 2.64, 1 Au 2.79
Au 0.0044 0.1936 0.3873  1 Br 2.51, 1 I 2.64, 1 Au 2.79
Au 0.4436 0.1329 0.8873  1 Br 2.51, 1 I 2.64, 1 Au 2.79
I 0.0155 0.0155 0.0309  2 Au 2.64
I 0.2655 0.7655 0.5309  2 Au 2.64
Br 0.6390 0.8859 0.2779  1 Au 2.51
Br 0.6420 0.3890 0.7779  1 Au 2.51
Br 0.1359 0.3890 0.7779  1 Au 2.51
Br 0.6390 0.3920 0.2779  1 Au 2.51

Summary:
symmetry	I4_1md (109)
Fermi-level density of states	12.00	states/eV/cell
electronic total energy	-22.9	eV per cell

# 10
Below is crystalline AcCe2SmAs4 at its relaxed geometry, with properties calculated at the PBE level.

a = 4.3017 Å, b = 7.4545 Å, c = 7.4599 Å
α = 70.59°, β = 90.00°, γ = 90.00°
Closest atoms and distances in Å follow each position.
Positions (direct):
Ac 0.5000 0.5000 0.0000  6 As 3.13
Ce 0.0000 0.0000 0.0000  6 As 3.04
Ce 0.5000 0.0000 0.5000  6 As 2.96
Sm 0.0000 0.5000 0.5000  6 As 3.05
As 0.0000 0.7650 0.7359  3 Ce 2.96-3.04, 1 Sm 3.05, 2 Ac 3.13
As 0.0000 0.2350 0.2641  3 Ce 2.96-3.04, 1 Sm 3.05, 2 Ac 3.13
As 0.5000 0.7580 0.2560  3 Ce 2.96-3.04, 2 Sm 3.05, 1 Ac 3.13
As 0.5000 0.2420 0.7440  3 Ce 2.96-3.04, 2 Sm 3.05, 1 Ac 3.13

Summary:
symmetry	P2/m (10)
formation energy	-1.4419	eV per atom
Fermi-level density of states	11.43	states/eV/cell
electronic total energy	-50.8	eV per cell

# 11
Below is crystalline EuYLuTl at its relaxed geometry, with properties calculated at the PBE level.

a = 5.5446 Å, b = 5.5446 Å, c = 5.5446 Å
α = 60.00°, β = 60.00°, γ = 60.00°
Closest atoms and distances in Å follow each position.
Positions (direct):
Eu 0.7500 0.7500 0.7500  4 Tl 3.40, 4 Lu 3.40
Y 0.2500 0.2500 0.2500  4 Tl 3.40, 4 Lu 3.40
Tl 0.5000 0.5000 0.5000  4 Eu 3.40, 4 Y 3.40
Lu 0.0000 0.0000 0.0000  4 Y 3.40, 4 Eu 3.40

Summary:
symmetry	F-43m (216)
formation energy	-0.0427	eV per atom
Fermi-level density of states	4.63	states/eV/cell
electronic total energy	-23.8	eV per cell

# 12
Below is crystalline Y2BeTeC at its relaxed geometry, with properties calculated at the PBE level.

a = 5.1816 Å, b = 5.1816 Å, c = 3.5614 Å
α = 90.00°, β = 90.00°, γ = 90.00°
Closest atoms and distances in Å follow each position.
Positions (direct):
Y 0.0000 0.5000 0.0000  2 C 2.59
Y 0.5000 0.0000 0.0000  2 C 2.59
Be 0.0000 0.0000 0.5000  2 C 1.78
C 0.0000 0.0000 0.0000  2 Be 1.78
Te 0.5000 0.5000 0.5000  8 Y 3.14

Summary:
symmetry	P4/mmm (123)
Fermi-level density of states	3.07	states/eV/cell
electronic total energy	-31.8	eV per cell